Density functional theory data (PBE) for a relaxed Th2NpP3 crystal.

```
Th2NpP3
1.0
3.994 0.000 -0.910
-0.207 3.988 -0.911
-0.012 -0.012 9.168
Th Np P
2 1 3
Cartesian
0.376 0.402 1.702
2.903 3.063 3.571
1.633 1.728 7.220
3.526 3.722 6.310
1.015 1.075 4.507
2.264 2.390 0.766
```

Computed properties:
SG: I4/mmm, No. 139
ΔH_f (0 K), eV/atom: -1.3134
DFT total energy, eV per atom: -8.65